No. 1
18
Lattice="-1.042 -1.198 -2.794 -1.435 -4.852 4.463 -8.930 4.091 1.576" Properties=species:S:1:pos:R:3 comment="Er2NbCrN5 (PBE, relaxed)" space_group="Cmc2_1, No. 36" e_form_raw_ev_per_atom=-1.141 crystal_system=orthorhombic pbc="T T T"
Er -9.073 -1.237 2.066
Er -6.646 1.637 1.777
Er -3.235 -0.308 1.338
Er -3.790 -4.040 1.297
Nb -6.195 -1.594 1.146
Nb -0.949 -2.317 1.347
Cr -9.182 3.071 0.260
Cr -5.968 -3.314 3.646
N -1.442 -4.004 2.254
N -9.016 1.004 1.084
N -8.942 -2.140 4.252
N -6.975 -0.435 2.788
N -7.160 -3.378 2.271
N -5.509 0.005 0.204
N -4.574 -1.961 2.546
N -3.109 0.477 -0.893
N -2.749 -2.293 0.160
N -0.541 -0.277 0.321

---

No. 2
8
Lattice="3.725 0.000 0.000 0.000 5.321 0.000 -1.862 -2.660 11.153" Properties=species:S:1:pos:R:3 comment="Er2Tm3Tl3 (PBE, relaxed)" space_group="Immm, No. 71" crystal_system=orthorhombic delta_e_f_mev_per_atom=-241 pbc="T T T"
Er 1.862 0.000 5.257
Er 0.000 2.660 5.896
Tm 1.862 2.660 2.829
Tm 0.000 0.000 8.324
Tm 1.862 0.000 0.000
Tl 0.000 0.000 2.662
Tl 0.000 2.660 0.000
Tl 1.862 2.660 8.491

---

No. 3
5
Lattice="-3.482 -1.319 -1.051 1.609 -3.320 -1.165 -0.505 -1.485 3.537" Properties=species:S:1:pos:R:3 comment="MgTcO3 (PBE, relaxed)" space_group="Pm-3m, No. 221" e_form_raw_ev_per_atom=-1.339 crystal_system=cubic pbc="T T T"
Mg -1.189 -3.062 0.661
Tc 0.000 0.000 0.000
O 0.805 -1.660 -0.582
O -0.252 -0.743 1.769
O -1.741 -0.660 -0.525

---

No. 4
14
Lattice="-3.053 -2.728 1.898 -2.528 -5.327 -6.356 4.390 -7.536 1.597" Properties=species:S:1:pos:R:3 comment="Ba3Zn7Pd4 (PBE, relaxed)" space_group="C2/m, No. 12" crystal_system=monoclinic delta_e_f_mev_per_atom=-420 pbc="T T T"
Ba -0.596 -3.384 -0.456
Ba -0.596 -12.207 -2.405
Ba 0.931 -6.431 -2.380
Zn -1.045 -9.319 -4.342
Zn 1.248 -8.364 0.718
Zn 0.346 -10.901 0.984
Zn -0.146 -6.272 1.481
Zn -1.537 -4.689 -3.845
Zn 0.000 0.000 0.000
Zn -2.439 -7.226 -3.579
Pd -2.858 -5.469 -1.728
Pd 1.667 -10.121 -1.133
Pd -3.642 -9.549 -3.487
Pd 2.451 -6.041 0.626

---

No. 5
80
Lattice="15.335 0.000 0.000 -5.112 14.458 0.000 -5.112 -7.229 12.521" Properties=species:S:1:pos:R:3 comment="Sn12Bi5As3 (PBE, relaxed)" space_group="Ia-3d, No. 230" crystal_system=cubic delta_e_f_mev_per_atom=207 pbc="T T T"
As 8.946 4.518 1.565
As 8.946 9.940 1.565
As -1.278 6.325 7.826
As 1.278 -0.904 4.695
As 11.501 0.000 3.130
As 1.278 7.229 3.130
As 3.834 0.000 9.391
As -6.390 7.229 9.391
As 3.834 8.133 7.826
As 6.390 0.904 4.695
As -3.834 -2.711 10.956
As -3.834 2.711 10.956
Bi -1.278 3.615 3.130
Bi -2.556 7.229 0.000
Bi 0.000 0.000 0.000
Bi 3.834 2.711 1.565
Bi 5.112 -3.615 6.261
Bi 5.112 7.229 0.000
Bi -3.834 8.133 4.695
Bi 6.390 -4.518 10.956
Bi 6.390 6.325 4.695
Bi 1.278 -3.615 9.391
Bi 3.834 10.844 3.130
Bi 2.556 3.615 6.261
Bi 7.668 0.000 0.000
Bi -2.556 -3.615 6.261
Bi -1.278 0.904 7.826
Bi -1.278 11.747 1.565
Bi -5.112 3.615 6.261
Bi 8.946 -0.904 7.826
Bi 1.278 4.518 10.956
Bi 6.390 3.615 9.391
Sn 10.269 1.476 0.946
Sn -0.045 5.172 5.456
Sn 11.014 3.338 3.238
Sn 6.877 2.479 1.751
Sn 2.032 5.906 8.337
Sn 10.444 6.960 2.077
Sn -0.790 8.087 4.989
Sn -4.322 11.979 1.751
Sn 0.524 8.552 8.337
Sn 7.447 7.499 2.077
Sn 7.622 3.533 4.510
Sn 7.622 12.982 0.946
Sn -4.587 6.559 7.207
Sn 2.777 5.565 1.272
Sn -5.067 10.925 4.510
Sn 2.511 -2.057 7.065
Sn -0.524 0.653 3.023
Sn 2.777 9.162 0.805
Sn 6.877 11.120 3.238
Sn -0.221 5.296 0.805
Sn -3.080 7.882 9.498
Sn 3.346 6.371 4.989
Sn 7.143 7.899 7.207
Sn 5.332 -1.664 11.249
Sn 1.766 0.858 7.532
Sn -2.032 -0.670 5.314
Sn -0.221 8.893 1.272
Sn -1.766 -3.891 9.283
Sn 8.192 -0.653 3.023
Sn 5.332 1.933 11.716
Sn 2.335 -1.933 11.716
Sn 2.601 9.286 5.456
Sn 5.636 6.576 9.498
Sn 10.178 -3.696 8.012
Sn 9.699 0.670 5.314
Sn -2.511 -5.753 11.575
Sn 2.335 1.664 11.249
Sn 4.587 -1.323 4.184
Sn -2.335 -0.270 10.444
Sn -2.511 3.696 8.012
Sn 9.433 -4.750 10.770
Sn 5.902 -0.858 7.532
Sn -1.766 4.750 10.770
Sn -5.332 0.270 10.444
Sn 3.080 1.323 4.184
Sn -5.902 3.891 9.283
Sn 5.157 2.057 7.065
Sn -5.157 5.753 11.575

---

No. 6
14
Lattice="8.050 0.000 -2.501 -4.143 6.717 -2.963 0.236 0.000 8.426" Properties=species:S:1:pos:R:3 comment="Tb8SmHo5 (PBE, relaxed)" space_group="I-4, No. 82" crystal_system=tetragonal delta_e_f_mev_per_atom=250 pbc="T T T"
Tb -1.711 4.955 -1.934
Tb 7.215 0.578 2.994
Tb 4.854 1.702 0.215
Tb 3.983 2.649 4.941
Tb 1.820 4.068 -0.791
Tb 1.023 6.139 2.897
Tb 1.760 1.762 1.969
Tb -2.371 5.015 1.561
Sm 0.118 3.358 4.213
Ho -0.987 2.147 0.094
Ho 3.266 6.066 -3.282
Ho 3.914 4.569 1.999
Ho 4.143 0.000 2.963
Ho 2.093 0.651 7.114

---

No. 7
5
Lattice="4.725 0.000 0.000 0.000 4.725 0.000 0.000 0.000 4.725" Properties=species:S:1:pos:R:3 comment="FeReAg3 (PBE, relaxed)" space_group="Pm-3m, No. 221" crystal_system=cubic e_above_lowest_polymorph_ev_per_atom=0.0000 delta_e_f_mev_per_atom=1815 pbc="T T T"
Re 2.363 2.363 2.363
Fe 0.000 0.000 0.000
Ag 0.000 2.363 0.000
Ag 0.000 0.000 2.363
Ag 2.363 0.000 0.000

---

No. 8
4
Lattice="-0.911 -4.628 -2.125 3.324 -3.589 1.684 -3.005 3.464 2.396" Properties=species:S:1:pos:R:3 comment="Ag2HgPt (PBE, relaxed)" space_group="I4/mmm, No. 139" crystal_system=tetragonal delta_e_f_mev_per_atom=22 pbc="T T T"
Ag 0.000 0.000 0.000
Ag 1.207 -4.108 -0.221
Hg 0.763 -2.117 1.930
Pt -1.355 -2.637 0.025

---

No. 9
10
Lattice="-0.740 0.169 -4.457 2.921 -3.396 -0.614 -8.175 -7.229 1.083" Properties=species:S:1:pos:R:3 comment="Sr2Li3MgAu4 (PBE, relaxed)" space_group="P-4m2, No. 115" crystal_system=tetragonal delta_e_f_mev_per_atom=-593 pbc="T T T"
Sr -2.288 -1.612 -1.974
Sr -4.796 -7.231 0.522
Li -4.088 -3.615 0.542
Li -7.602 -6.310 -1.270
Li 0.517 -2.532 -0.182
Mg -2.997 -5.228 -1.994
Au 1.091 -1.613 -2.536
Au 0.000 0.000 0.000
Au -5.640 -4.576 -1.530
Au -1.445 -4.267 0.078

---

No. 10
18
Lattice="-5.417 -5.768 -0.615 2.829 -7.918 -1.869 -0.743 -5.468 6.614" Properties=species:S:1:pos:R:3 comment="NdScZn (PBE, relaxed)" space_group="Amm2, No. 38" crystal_system=orthorhombic e_above_lowest_polymorph_ev_per_atom=0.0205 delta_e_f_mev_per_atom=-164 pbc="T T T"
Nd 0.935 -11.472 1.034
Nd -3.832 -7.220 3.146
Nd -2.047 -8.445 -1.096
Nd -0.851 -10.247 5.276
Nd -4.406 -10.931 3.976
Nd -2.620 -12.157 -0.265
Sc -1.669 -9.581 2.065
Sc -2.712 -2.888 -0.308
Sc 0.353 -13.151 3.947
Sc 0.267 -1.796 0.632
Sc 1.310 -8.489 3.004
Sc -0.691 -6.458 1.575
Zn 0.703 -8.618 0.112
Zn -1.083 -7.394 4.354
Zn -1.973 -12.374 2.744
Zn -4.348 -9.963 1.047
Zn -3.305 -16.656 3.420
Zn -3.016 -5.681 0.371

---

No. 11
10
Lattice="-1.682 0.839 -4.036 -4.067 0.377 1.773 1.656 10.674 1.529" Properties=species:S:1:pos:R:3 comment="Pm2InSn3Rh4 (PBE, relaxed)" space_group="P-4m2, No. 115" crystal_system=tetragonal delta_e_f_mev_per_atom=-668 pbc="T T T"
Pm -0.433 3.051 -1.641
Pm -0.785 8.231 2.039
In -2.046 5.945 -0.367
Sn 0.828 5.337 0.764
Sn 0.601 9.714 -0.687
Sn -1.819 1.568 1.084
Rh -2.874 0.608 -1.131
Rh 0.000 0.000 0.000
Rh 0.213 7.210 -1.045
Rh -1.431 4.071 1.443

---

No. 12
4
Lattice="-2.505 -2.342 1.543 2.434 -1.983 0.941 1.759 2.249 6.270" Properties=species:S:1:pos:R:3 comment="CaFe2Sb (PBE, relaxed)" space_group="Pm, No. 6" e_form_raw_ev_per_atom=0.126 crystal_system=monoclinic pbc="T T T"
Sb 1.597 0.349 3.123
Ca 1.706 -0.786 6.158
Fe 0.233 0.219 0.711
Fe 0.248 -1.725 2.367

---

No. 13
8
Lattice="-0.838 2.964 -3.806 -5.215 -0.275 0.935 1.296 2.688 8.019" Properties=species:S:1:pos:R:3 comment="CdSnH2 (PBE, relaxed)" space_group="Cm, No. 8" crystal_system=monoclinic e_above_lowest_polymorph_ev_per_atom=0.1151 pbc="T T T"
Cd 0.413 3.298 3.276
Cd -2.842 1.817 -0.266
Sn -0.307 1.300 -1.330
Sn -2.267 2.507 3.147
H 0.653 4.443 4.946
H -2.603 2.962 1.404
H 1.000 2.228 6.233
H -2.256 0.746 2.691

---

No. 14
3
Lattice="4.086 0.000 0.000 -2.043 3.539 0.000 0.000 0.000 3.052" Properties=species:S:1:pos:R:3 comment="TaMnSe (PBE, relaxed)" space_group="P3m1, No. 156" e_form_raw_ev_per_atom=-0.013 crystal_system=trigonal e_above_lowest_polymorph_ev_per_atom=0.2468 pbc="T T T"
Mn 0.000 0.000 0.503
Se 2.043 1.180 0.510
Ta 0.000 2.359 2.039

---

No. 15
4
Lattice="4.305 0.000 0.000 0.000 2.918 0.027 0.000 1.414 5.357" Properties=species:S:1:pos:R:3 comment="Cd2CoRh (PBE, relaxed)" space_group="Amm2, No. 38" crystal_system=orthorhombic delta_e_f_mev_per_atom=157 pbc="T T T"
Cd 0.000 4.151 5.210
Cd 2.152 1.264 1.511
Co 0.000 2.713 2.775
Rh 2.152 2.702 3.962

---

No. 16
12
Lattice="-3.115 2.124 -3.466 -4.053 -1.867 2.414 -0.471 6.041 4.040" Properties=species:S:1:pos:R:3 comment="Cd2InGaF8 (PBE, relaxed)" space_group="P-1, No. 2" e_form_raw_ev_per_atom=-2.223 crystal_system=triclinic pbc="T T T"
Cd -3.941 4.702 2.533
Cd -3.698 1.595 0.455
In -0.235 3.020 2.020
Ga 0.000 0.000 0.000
F -3.863 0.011 2.085
F -5.661 6.179 3.335
F -3.439 2.507 -1.618
F -3.776 6.286 0.903
F -1.978 0.118 -0.347
F -4.200 3.790 4.606
F -5.087 3.018 1.541
F -2.551 3.279 1.447

---

No. 17
5
Lattice="-0.981 -4.374 -1.669 1.869 -1.929 3.957 -4.292 0.159 2.105" Properties=species:S:1:pos:R:3 comment="Nb4Mo (PBE, relaxed)" space_group="Pm-3m, No. 221" crystal_system=cubic e_above_lowest_polymorph_ev_per_atom=0.8543 delta_e_f_mev_per_atom=1303 pbc="T T T"
Mo -1.702 -3.072 2.197
Nb 0.000 0.000 0.000
Nb -2.636 -2.107 0.218
Nb -1.211 -0.885 3.031
Nb 0.444 -3.151 1.144

---

No. 18
10
Lattice="8.142 0.000 -0.002 -4.071 7.051 -0.001 -4.069 -2.350 7.947" Properties=species:S:1:pos:R:3 comment="CeTlAg2I6 (PBE, relaxed)" space_group="R3, No. 146" e_form_raw_ev_per_atom=-0.737 crystal_system=trigonal pbc="T T T"
Ce 0.064 4.732 7.790
Tl 4.134 2.382 3.823
Ag 0.062 4.732 1.501
Ag 0.062 0.031 6.135
I -2.489 4.767 5.925
I 2.622 0.002 1.701
I 2.829 4.880 1.699
I -1.191 2.261 1.703
I 1.308 2.504 5.923
I -2.703 -0.128 5.924

---

No. 19
9
Lattice="3.643 0.000 0.000 -1.822 9.294 1.646 0.000 -1.547 8.754" Properties=species:S:1:pos:R:3 comment="La4Dy2YHo2 (PBE, relaxed)" space_group="C2/m, No. 12" crystal_system=monoclinic delta_e_f_mev_per_atom=29 pbc="T T T"
La 1.822 4.113 6.801
La 0.000 3.635 3.599
La 1.822 0.518 3.073
La 0.000 7.230 7.327
Dy 1.822 6.715 4.153
Dy 0.000 1.033 6.247
Y 0.000 0.000 0.000
Ho 0.000 6.199 1.120
Ho 1.822 1.549 9.281

---

No. 20
4
Lattice="-3.091 3.800 -2.164 -5.330 -0.345 0.382 -2.683 3.390 3.159" Properties=species:S:1:pos:R:3 comment="CdBr (PBE, relaxed)" space_group="Fd-3m, No. 227" e_form_raw_ev_per_atom=-0.018 crystal_system=cubic pbc="T T T"
Br 0.000 0.000 0.000
Br -2.776 1.711 0.344
Cd -5.552 3.422 0.688
Cd -8.328 5.134 1.032